Computed, not measured: an optimized crystal structure of VCd2SnO6 at the GGA+U level of DFT.

The structure belongs to space group P4mm (No. 99); the cell edges are 5.390, 5.390 and 4.852 Å and the angles 90.00°, 90.00° and 90.00°. Symmetry generates all atoms from V at (0.000, 0.000, 0.000), Cd at (0.000, 0.500, 0.412), Sn at (0.500, 0.500, 0.005), O at (0.000, 0.000, 0.649), O at (0.243, 0.243, 0.136) and O at (0.500, 0.500, 0.597).

As for the crystal system: tetragonal. For the calculated volume, the calculation gives 141.0 Å³/cell. For the raw total energy, the calculation gives -56.4 eV for the cell shown. The density of states at the Fermi level is 0.61 states/eV/cell.